NaSi2Cl | PBE | optimized geometry

Summary:
Electronic total energy, eV/f.u.: -15.21

Structure (CIF):
```
data_NaSi2Cl
_cell_length_a 3.553
_cell_length_b 3.553
_cell_length_c 34.230
_cell_angle_alpha 90.00
_cell_angle_beta 90.00
_cell_angle_gamma 90.00
_symmetry_space_group_name_H-M 'P 1'
_symmetry_Int_Tables_number 1
loop_
_symmetry_equiv_pos_as_xyz
'x,y,z'
loop_
_atom_site_label
_atom_site_fract_x
_atom_site_fract_y
_atom_site_fract_z
Na1 0.000 0.000 0.000
Na2 0.000 0.500 0.250
Na3 0.500 0.000 0.750
Na4 0.500 0.500 0.500
Si1 0.246 0.250 0.125
Si2 0.250 0.746 0.375
Si3 0.250 0.754 0.875
Si4 0.254 0.250 0.625
Si5 0.746 0.750 0.625
Si6 0.750 0.246 0.875
Si7 0.750 0.254 0.375
Si8 0.754 0.750 0.125
Cl1 0.000 0.000 0.500
Cl2 0.000 0.500 0.750
Cl3 0.500 0.000 0.250
Cl4 0.500 0.500 0.000
```

***

KCaTa2 | PBE | optimized geometry

Summary:
Energy of formation, eV/atom: 1.30
Electronic total energy, eV/f.u.: -21.59

Structure (CIF):
```
data_KCaTa2
_cell_length_a 4.057
_cell_length_b 4.057
_cell_length_c 5.879
_cell_angle_alpha 90.00
_cell_angle_beta 90.00
_cell_angle_gamma 90.00
_symmetry_space_group_name_H-M 'P 1'
_symmetry_Int_Tables_number 1
loop_
_symmetry_equiv_pos_as_xyz
'x,y,z'
loop_
_atom_site_label
_atom_site_fract_x
_atom_site_fract_y
_atom_site_fract_z
K1 0.000 0.000 0.000
Ca1 0.500 0.500 0.000
Ta1 0.000 0.500 0.500
Ta2 0.500 0.000 0.500
```

***

GdPuCuHg | PBE | optimized geometry

Summary:
Energy of formation, eV/atom: -0.09
Electronic total energy, eV/f.u.: -33.17

Structure (CIF):
```
data_GdPuCuHg
_cell_length_a 7.324
_cell_length_b 7.324
_cell_length_c 7.324
_cell_angle_alpha 90.00
_cell_angle_beta 90.00
_cell_angle_gamma 90.00
_symmetry_space_group_name_H-M 'P 1'
_symmetry_Int_Tables_number 1
loop_
_symmetry_equiv_pos_as_xyz
'x,y,z'
loop_
_atom_site_label
_atom_site_fract_x
_atom_site_fract_y
_atom_site_fract_z
Gd1 0.000 0.000 0.000
Gd2 0.000 0.500 0.500
Gd3 0.500 0.000 0.500
Gd4 0.500 0.500 0.000
Pu1 0.000 0.000 0.500
Pu2 0.000 0.500 0.000
Pu3 0.500 0.000 0.000
Pu4 0.500 0.500 0.500
Cu1 0.250 0.250 0.750
Cu2 0.250 0.750 0.250
Cu3 0.750 0.250 0.250
Cu4 0.750 0.750 0.750
Hg1 0.250 0.250 0.250
Hg2 0.250 0.750 0.750
Hg3 0.750 0.250 0.750
Hg4 0.750 0.750 0.250
```

***

Ca3Y2NpN6 | PBE | optimized geometry

Summary:
Electronic total energy, eV/f.u.: -98.24

Structure (CIF):
```
data_Ca3Y2NpN6
_cell_length_a 6.011
_cell_length_b 6.011
_cell_length_c 6.046
_cell_angle_alpha 99.58
_cell_angle_beta 99.58
_cell_angle_gamma 120.02
_symmetry_space_group_name_H-M 'P 1'
_symmetry_Int_Tables_number 1
loop_
_symmetry_equiv_pos_as_xyz
'x,y,z'
loop_
_atom_site_label
_atom_site_fract_x
_atom_site_fract_y
_atom_site_fract_z
Ca1 0.000 0.000 0.000
Ca2 0.335 0.665 0.000
Ca3 0.665 0.335 0.000
Y1 0.167 0.833 0.500
Y2 0.833 0.167 0.500
Np1 0.500 0.500 0.500
N1 0.119 0.427 0.279
N2 0.267 0.267 0.714
N3 0.427 0.119 0.279
N4 0.573 0.881 0.721
N5 0.733 0.733 0.286
N6 0.881 0.573 0.721
```

***

Number 1: calculated density 1.762 g/cm³. Number 2: calculated density 7.569 g/cm³. Number 3: calculated density 11.251 g/cm³. Number 4: calculated density 5.763 g/cm³.